# 1
Here is a relaxed Ag2GeS4 crystal from the Alexandria database. Energies are from PBE.

```
14
Lattice="4.9665 0.0000 0.0000 0.0000 4.9665 0.0000 0.0000 0.0000 12.2710" Properties=species:S:1:pos:R:3 pbc="T T T"
Ag 0.0000 0.0000 1.3857
Ag 0.0000 0.0000 10.8853
Ag 2.4832 2.4832 4.7498
Ag 2.4832 2.4832 7.5212
Ge 0.0000 0.0000 6.1355
Ge 2.4832 2.4832 0.0000
S 0.0000 0.0000 3.8558
S 0.0000 0.0000 8.4151
S 0.0000 2.4832 0.0000
S 0.0000 2.4832 6.1355
S 2.4832 0.0000 0.0000
S 2.4832 0.0000 6.1355
S 2.4832 2.4832 2.2797
S 2.4832 2.4832 9.9913
```

Properties
- Uncorrected formation energy: 0.397 eV/atom
- Relative energy among the computed polymorphs: 295 meV/atom
- Crystal system: tetragonal
- Space group: I4/mmm



# 2
Here is a relaxed Ac2SmEr crystal from the Alexandria database. Energies are from PBE.

```
12
Lattice="3.8101 0.0000 0.0000 -1.9050 3.2996 0.0000 0.0000 0.0000 36.3624" Properties=species:S:1:pos:R:3 pbc="T T T"
Ac 0.0000 0.0000 0.0000
Ac 0.0000 0.0000 6.1394
Ac 0.0000 2.1997 24.2416
Ac 0.0000 2.1997 30.3809
Ac 1.9050 1.0999 12.1208
Ac 1.9050 1.0999 18.2601
Sm 0.0000 0.0000 15.1541
Sm 0.0000 2.1997 3.0334
Sm 1.9050 1.0999 27.2749
Er 0.0000 0.0000 21.2816
Er 0.0000 2.1997 9.1608
Er 1.9050 1.0999 33.4024
```

Properties
- Relative energy among the computed polymorphs: 25 meV/atom
- Crystal system: trigonal
- ΔE_f: 67 meV/atom
- Space group: R3m



# 3
Here is a relaxed Cs2Tl3Au4 crystal from the Alexandria database. Energies are from PBE.

```
18
Lattice="8.4862 0.0000 0.0000 0.0000 8.9447 0.0000 -2.1898 0.0000 7.6880" Properties=species:S:1:pos:R:3 pbc="T T T"
Cs 1.3287 1.4890 0.4012
Cs 0.2338 2.9833 4.2452
Cs 6.0626 5.9614 3.4428
Cs 4.9677 7.4557 7.2868
Tl 1.8243 6.2331 2.1791
Tl 0.7294 7.1840 6.0231
Tl 3.1482 0.0000 3.8440
Tl 4.2431 4.4724 0.0000
Tl 5.5670 1.7607 1.6649
Tl 4.4721 2.7116 5.5089
Au -0.9872 4.9888 7.2105
Au 0.1077 8.4283 3.3665
Au 2.7541 5.3584 4.9008
Au 3.8490 8.0587 1.0568
Au 2.4475 0.8861 6.6312
Au 3.5424 3.5863 2.7872
Au 6.1888 0.5164 4.3215
Au 7.2837 3.9559 0.4775
```

Properties
- Crystal system: monoclinic
- ΔE_f: -155 meV/atom
- Space group: P2_1/c



# 4
Here is a relaxed Pu4Ge3Ru crystal from the Alexandria database. Energies are from PBE.

```
8
Lattice="3.8552 0.0000 0.0000 0.0000 4.9605 0.0000 0.0000 0.0000 9.3009" Properties=species:S:1:pos:R:3 pbc="T T T"
Pu 0.0000 0.0000 0.0000
Pu 0.0000 2.4803 3.2265
Pu 1.9276 0.0000 1.4810
Pu 1.9276 2.4803 6.1619
Ge 0.0000 0.0000 5.9944
Ge 0.0000 2.4803 8.3044
Ge 1.9276 0.0000 4.2951
Ru 1.9276 2.4803 0.5827
```

Properties
- Relative energy among the computed polymorphs: 184 meV/atom
- Crystal system: orthorhombic
- ΔE_f: -108 meV/atom
- Space group: Pmm2



# 5
Here is a relaxed Al2SiHg crystal from the Alexandria database. Energies are from PBE.

```
8
Lattice="9.6831 0.0000 0.0000 0.0000 3.0461 0.0000 -1.0156 0.0000 5.2173" Properties=species:S:1:pos:R:3 pbc="T T T"
Al 0.0000 0.0000 0.0000
Al 1.7409 1.5230 3.1983
Al 4.8415 1.5230 0.0000
Al 6.5824 0.0000 3.1983
Si 4.0259 0.0000 3.0465
Si 8.8674 1.5230 3.0465
Hg 2.5404 0.0000 0.7074
Hg 7.3820 1.5230 0.7074
```

Properties
- Uncorrected formation energy: 0.259 eV/atom
- Relative energy among the computed polymorphs: 85 meV/atom
- Crystal system: monoclinic
- Space group: Cm



# 6
Here is a relaxed Sc3TaO7 crystal from the Alexandria database. Energies are from PBE.

```
22
Lattice="3.5848 -6.8731 0.0000 3.5848 6.8731 0.0000 0.0000 0.0000 5.1081" Properties=species:S:1:pos:R:3 pbc="T T T"
Sc 1.7924 3.4366 2.5540
Sc 3.5848 5.1397 4.9710
Sc 3.5848 1.7334 4.9710
Sc 1.7924 -3.4366 2.5540
Sc 3.5848 -1.7334 0.1371
Sc 3.5848 -5.1397 0.1371
Ta 1.7924 0.0000 2.5540
Ta 5.3773 0.0000 2.5540
O 3.5848 6.5670 3.6641
O 1.4565 1.7419 3.7777
O 2.1283 1.7419 1.3304
O 3.5848 3.4366 3.7787
O 1.4565 -1.7419 1.3304
O 2.1283 -1.7419 3.7777
O 3.5848 0.3061 3.6641
O 3.5848 -0.3061 1.4439
O 5.0414 1.7419 1.3304
O 5.7131 1.7419 3.7777
O 3.5848 -3.4366 1.3293
O 5.0414 -1.7419 3.7777
O 5.7131 -1.7419 1.3304
O 3.5848 -6.5670 1.4439
```

Properties
- Uncorrected formation energy: -3.169 eV/atom
- Relative energy among the computed polymorphs: 89 meV/atom
- Crystal system: orthorhombic
- Space group: Cmme



# 7
Here is a relaxed H2Pt4Au crystal from the Alexandria database. Energies are from PBE.

```
7
Lattice="1.4059 0.8117 12.9589 -1.4059 0.8117 12.9589 0.0000 -1.6234 12.9589" Properties=species:S:1:pos:R:3 pbc="T T T"
H 0.0000 0.0000 8.7590
H 0.0000 0.0000 30.1176
Pt 0.0000 0.0000 5.2645
Pt 0.0000 0.0000 10.5316
Pt 0.0000 0.0000 28.3449
Pt 0.0000 0.0000 33.6120
Au 0.0000 0.0000 0.0000
```

Properties
- Crystal system: trigonal
- Space group: R-3m
- E: -33.64 eV/cell



# 8
Here is a relaxed Zn2MoCl crystal from the Alexandria database. Energies are from PBE.

```
8
Lattice="3.9562 0.0000 0.0000 0.0000 3.9562 0.0000 0.0000 0.0000 8.6893" Properties=species:S:1:pos:R:3 pbc="T T T"
Zn 0.0000 0.0000 0.0000
Zn 0.0000 1.9781 2.1723
Zn 1.9781 0.0000 6.5170
Zn 1.9781 1.9781 4.3447
Mo 0.0000 0.0000 4.3447
Mo 1.9781 1.9781 0.0000
Cl 0.0000 1.9781 6.5170
Cl 1.9781 0.0000 2.1723
```

Properties
- Uncorrected formation energy: 0.542 eV/atom
- Relative energy among the computed polymorphs: 461 meV/atom
- Crystal system: tetragonal
- Space group: I-4m2



# 9
Here is a relaxed La2Ag2Hg crystal from the Alexandria database. Energies are from PBE.

```
10
Lattice="5.9068 0.0000 0.0000 0.0000 5.9068 0.0000 0.0000 0.0000 8.4835" Properties=species:S:1:pos:R:3 pbc="T T T"
La 0.0000 2.9534 2.1209
La 0.0000 2.9534 6.3626
La 2.9534 0.0000 2.1209
La 2.9534 0.0000 6.3626
Ag 0.0000 0.0000 1.2829
Ag 0.0000 0.0000 7.2006
Ag 2.9534 2.9534 2.9589
Ag 2.9534 2.9534 5.5246
Hg 0.0000 0.0000 4.2417
Hg 2.9534 2.9534 0.0000
```

Properties
- Crystal system: tetragonal
- ΔE_f: -109 meV/atom
- Space group: I4/mmm



# 10
Here is a relaxed CdP3 crystal from the Alexandria database. Energies are from PBE.

```
8
Lattice="5.1763 0.0000 0.0000 0.0000 5.1763 0.0000 0.0000 0.0000 5.1763" Properties=species:S:1:pos:R:3 pbc="T T T"
Cd 0.0000 0.0000 0.0000
Cd 2.5882 2.5882 2.5882
P 0.0000 1.2941 2.5882
P 0.0000 3.8822 2.5882
P 1.2941 2.5882 0.0000
P 2.5882 0.0000 1.2941
P 2.5882 0.0000 3.8822
P 3.8822 2.5882 0.0000
```

Properties
- Relative energy among the computed polymorphs: 819 meV/atom
- Crystal system: cubic
- ΔE_f: 786 meV/atom
- Space group: Pm-3n



# 11
Here is a relaxed PrTmNiRh crystal from the Alexandria database. Energies are from PBE.

```
16
Lattice="6.9258 0.0000 0.0000 0.0000 6.9258 0.0000 0.0000 0.0000 6.9258" Properties=species:S:1:pos:R:3 pbc="T T T"
Pr 0.0000 0.0000 0.0000
Pr 0.0000 3.4629 3.4629
Pr 3.4629 0.0000 3.4629
Pr 3.4629 3.4629 0.0000
Tm 0.0000 0.0000 3.4629
Tm 0.0000 3.4629 0.0000
Tm 3.4629 0.0000 0.0000
Tm 3.4629 3.4629 3.4629
Ni 1.7315 1.7315 1.7315
Ni 1.7315 5.1944 5.1944
Ni 5.1944 1.7315 5.1944
Ni 5.1944 5.1944 1.7315
Rh 1.7315 1.7315 5.1944
Rh 1.7315 5.1944 1.7315
Rh 5.1944 1.7315 1.7315
Rh 5.1944 5.1944 5.1944
```

Properties
- Crystal system: cubic
- ΔE_f: -520 meV/atom
- Space group: F-43m